1.
# Y4Rh3 PBE-GGA relaxed
# Fermi-level density of states (states/eV/atom): 0.509
# Energy of formation from the pure elements (meV per atom): -756
# Magnetization (μB per cell): 0.00
# Energy relative to the lowest polymorph listed for this composition (meV per atom): 0
data_Y4Rh3
_chemical_formula_sum 'Y12 Rh9'
_symmetry_space_group_name_H-M 'R -3 m'
_symmetry_Int_Tables_number 166
_symmetry_space_group_name_Hall '-R 3 2"'
_cell_length_a 4.8302
_cell_length_b 4.8302
_cell_length_c 23.8065
_cell_angle_alpha 90.00
_cell_angle_beta 90.00
_cell_angle_gamma 120.00
loop_
_atom_site_label
_atom_site_type_symbol
_atom_site_fract_x
_atom_site_fract_y
_atom_site_fract_z
_atom_site_occupancy
Y1 Y 0.0000 0.0000 0.1242 1
Y2 Y 0.0000 0.0000 0.3748 1
Rh1 Rh 0.0000 0.0000 0.2494 1
Rh2 Rh 0.0000 0.0000 0.5000 1



2.
# Tb3Sm2Er6Pu PBE-GGA relaxed
# Fermi-level density of states (states/eV/atom): 1.988
# Energy of formation from the pure elements (meV per atom): 44
# Magnetization (μB per cell): 12.72
data_Tb3Sm2Er6Pu
_chemical_formula_sum 'Tb6 Sm4 Er12 Pu2'
_symmetry_space_group_name_H-M 'C 1 2/m 1'
_symmetry_Int_Tables_number 12
_cell_length_a 6.119
_cell_length_b 10.604
_cell_length_c 11.642
_cell_angle_alpha 90.00
_cell_angle_beta 100.12
_cell_angle_gamma 90.00
loop_
_symmetry_equiv_pos_as_xyz
'x,y,z'
'-x,-y,-z'
'-x,y,-z'
'x,-y,z'
'x+1/2,y+1/2,z'
'-x+1/2,-y+1/2,-z'
'-x+1/2,y+1/2,-z'
'x+1/2,-y+1/2,z'
loop_
_atom_site_label
_atom_site_type_symbol
_atom_site_fract_x
_atom_site_fract_y
_atom_site_fract_z
_atom_site_occupancy
Tb1 Tb 0.000 0.000 0.000 1
Tb2 Tb 0.000 0.333 0.000 1
Sm1 Sm 0.000 0.167 0.500 1
Er1 Er 0.246 0.500 0.251 1
Er2 Er 0.247 0.336 0.749 1
Pu1 Pu 0.000 0.500 0.500 1



3.
# ZnCu2AgS PBE-GGA relaxed
# Fermi-level density of states (states/eV/atom): 0.352
# Raw formation energy (eV/f.u.): 1.6
# Magnetization (μB per cell): 0.00
data_ZnCu2AgS
_chemical_formula_sum 'Zn1 Cu2 Ag1 S1'
_symmetry_space_group_name_H-M 'P 4/m m m'
_symmetry_Int_Tables_number 123
_symmetry_space_group_name_Hall '-P 4 2'
_cell_length_a 4.270
_cell_length_b 4.270
_cell_length_c 5.357
_cell_angle_alpha 90.00
_cell_angle_beta 90.00
_cell_angle_gamma 90.00
loop_
_atom_site_label
_atom_site_type_symbol
_atom_site_fract_x
_atom_site_fract_y
_atom_site_fract_z
_atom_site_occupancy
Zn1 Zn 0.000 0.000 0.000 1
Cu1 Cu 0.000 0.500 0.500 1
Ag1 Ag 0.500 0.500 0.000 1
S1 S 0.500 0.500 0.500 1



4.
# GaAgPtPb PBE-GGA relaxed
# Fermi-level density of states (states/eV/atom): 0.378
# Energy of formation from the pure elements (meV per atom): -106
# Magnetization (μB per cell): 0.00
# Energy relative to the lowest polymorph listed for this composition (meV per atom): 78
data_GaAgPtPb
_chemical_formula_sum 'Ga1 Ag1 Pt1 Pb1'
_symmetry_space_group_name_H-M 'P 1'
_symmetry_Int_Tables_number 1
_cell_length_a 3.692
_cell_length_b 5.122
_cell_length_c 5.476
_cell_angle_alpha 67.27
_cell_angle_beta 70.98
_cell_angle_gamma 68.88
loop_
_symmetry_equiv_pos_as_xyz
'x,y,z'
loop_
_atom_site_label
_atom_site_type_symbol
_atom_site_fract_x
_atom_site_fract_y
_atom_site_fract_z
_atom_site_occupancy
Ga1 Ga 0.000 0.000 0.000 1
Ag1 Ag 0.215 0.360 0.208 1
Pt1 Pt 0.519 0.261 0.691 1
Pb1 Pb 0.840 0.727 0.585 1



5.
# SrTc2SeF PBE-GGA relaxed
# Fermi-level density of states (states/eV/atom): 1.162
# Raw formation energy (eV/f.u.): 1.1
# Magnetization (μB per cell): 0.89
data_SrTc2SeF
_chemical_formula_sum 'Sr1 Tc2 Se1 F1'
_symmetry_space_group_name_H-M 'P 4/m m m'
_symmetry_Int_Tables_number 123
_symmetry_space_group_name_Hall '-P 4 2'
_cell_length_a 4.239
_cell_length_b 4.239
_cell_length_c 5.088
_cell_angle_alpha 90.00
_cell_angle_beta 90.00
_cell_angle_gamma 90.00
loop_
_atom_site_label
_atom_site_type_symbol
_atom_site_fract_x
_atom_site_fract_y
_atom_site_fract_z
_atom_site_occupancy
Sr1 Sr 0.000 0.000 0.000 1
Tc1 Tc 0.000 0.500 0.500 1
Se1 Se 0.500 0.500 0.000 1
F1 F 0.000 0.000 0.500 1



6.
# CeAl2CdAu5 PBE-GGA relaxed
# Fermi-level density of states (states/eV/atom): 1.040
# Energy of formation from the pure elements (meV per atom): -338
# Magnetization (μB per cell): 0.94
data_CeAl2CdAu5
_chemical_formula_sum 'Ce1 Al2 Cd1 Au5'
_symmetry_space_group_name_H-M 'P 4/m m m'
_symmetry_Int_Tables_number 123
_symmetry_space_group_name_Hall '-P 4 2'
_cell_length_a 4.890
_cell_length_b 4.890
_cell_length_c 7.925
_cell_angle_alpha 90.00
_cell_angle_beta 90.00
_cell_angle_gamma 90.00
loop_
_atom_site_label
_atom_site_type_symbol
_atom_site_fract_x
_atom_site_fract_y
_atom_site_fract_z
_atom_site_occupancy
Ce1 Ce 0.000 0.000 0.000 1
Al1 Al 0.500 0.500 0.339 1
Cd1 Cd 0.000 0.000 0.500 1
Au1 Au 0.000 0.500 0.242 1
Au2 Au 0.500 0.500 0.000 1



7.
# SbPd5Se PBE-GGA relaxed
# Fermi-level density of states (states/eV/atom): 0.392
# Raw formation energy (eV/f.u.): -1.9
# Magnetization (μB per cell): 0.00
# Energy relative to the lowest polymorph listed for this composition (meV per atom): 18
data_SbPd5Se
_chemical_formula_sum 'Sb4 Pd20 Se4'
_symmetry_space_group_name_H-M 'C 1 2/c 1'
_symmetry_Int_Tables_number 15
_cell_length_a 7.210
_cell_length_b 7.516
_cell_length_c 9.217
_cell_angle_alpha 90.00
_cell_angle_beta 106.52
_cell_angle_gamma 90.00
loop_
_symmetry_equiv_pos_as_xyz
'x,y,z'
'-x,-y,-z'
'-x,y,-z+1/2'
'x,-y,z+1/2'
'x+1/2,y+1/2,z'
'-x+1/2,-y+1/2,-z'
'-x+1/2,y+1/2,-z+1/2'
'x+1/2,-y+1/2,z+1/2'
loop_
_atom_site_label
_atom_site_type_symbol
_atom_site_fract_x
_atom_site_fract_y
_atom_site_fract_z
_atom_site_occupancy
Sb1 Sb 0.000 0.002 0.250 1
Pd1 Pd 0.000 0.354 0.250 1
Pd2 Pd 0.099 0.168 0.536 1
Pd3 Pd 0.202 0.324 0.846 1
Se1 Se 0.000 0.500 0.000 1



8.
# ZnCo4 PBE-GGA relaxed
# Fermi-level density of states (states/eV/atom): 0.935
# Energy of formation from the pure elements (meV per atom): 50
# Magnetization (μB per cell): 24.34
# Energy relative to the lowest polymorph listed for this composition (meV per atom): 18
data_ZnCo4
_chemical_formula_sum 'Zn4 Co16'
_symmetry_space_group_name_H-M 'P 1 21/c 1'
_symmetry_Int_Tables_number 14
_cell_length_a 4.454
_cell_length_b 8.276
_cell_length_c 6.712
_cell_angle_alpha 90.00
_cell_angle_beta 112.51
_cell_angle_gamma 90.00
loop_
_symmetry_equiv_pos_as_xyz
'x,y,z'
'-x,-y,-z'
'-x,y+1/2,-z+1/2'
'x,-y+1/2,z+1/2'
loop_
_atom_site_label
_atom_site_type_symbol
_atom_site_fract_x
_atom_site_fract_y
_atom_site_fract_z
_atom_site_occupancy
Zn1 Zn 0.040 0.125 0.403 1
Co1 Co 0.165 0.618 0.501 1
Co2 Co 0.246 0.125 0.811 1
Co3 Co 0.359 0.631 0.890 1
Co4 Co 0.439 0.120 0.201 1



9.
# Y2MnZn PBE-GGA relaxed
# Fermi-level density of states (states/eV/atom): 1.206
# Energy of formation from the pure elements (meV per atom): -72
# Magnetization (μB per cell): 2.35
data_Y2MnZn
_chemical_formula_sum 'Y2 Mn1 Zn1'
_symmetry_space_group_name_H-M 'P 1 m 1'
_symmetry_Int_Tables_number 6
_cell_length_a 3.653
_cell_length_b 4.524
_cell_length_c 5.909
_cell_angle_alpha 90.00
_cell_angle_beta 107.93
_cell_angle_gamma 90.00
loop_
_symmetry_equiv_pos_as_xyz
'x,y,z'
'x,-y,z'
loop_
_atom_site_label
_atom_site_type_symbol
_atom_site_fract_x
_atom_site_fract_y
_atom_site_fract_z
_atom_site_occupancy
Y1 Y 0.000 0.000 0.000 1
Y2 Y 0.297 0.500 0.595 1
Mn1 Mn 0.713 0.000 0.427 1
Zn1 Zn 0.583 0.500 0.166 1



10.
# Ti2Zn3Pd2 PBE-GGA relaxed
# Fermi-level density of states (states/eV/atom): 0.771
# Energy of formation from the pure elements (meV per atom): -346
# Magnetization (μB per cell): 2.13
# Energy relative to the lowest polymorph listed for this composition (meV per atom): 35
data_Ti2Zn3Pd2
_chemical_formula_sum 'Ti4 Zn6 Pd4'
_symmetry_space_group_name_H-M 'C 1 2/m 1'
_symmetry_Int_Tables_number 12
_cell_length_a 9.594
_cell_length_b 4.496
_cell_length_c 4.966
_cell_angle_alpha 90.00
_cell_angle_beta 97.20
_cell_angle_gamma 90.00
loop_
_symmetry_equiv_pos_as_xyz
'x,y,z'
'-x,-y,-z'
'-x,y,-z'
'x,-y,z'
'x+1/2,y+1/2,z'
'-x+1/2,-y+1/2,-z'
'-x+1/2,y+1/2,-z'
'x+1/2,-y+1/2,z'
loop_
_atom_site_label
_atom_site_type_symbol
_atom_site_fract_x
_atom_site_fract_y
_atom_site_fract_z
_atom_site_occupancy
Ti1 Ti 0.073 0.000 0.294 1
Zn1 Zn 0.000 0.500 0.000 1
Zn2 Zn 0.225 0.000 0.850 1
Pd1 Pd 0.143 0.500 0.588 1



> Number 8 is which compound?

ZnCo4



> The highest magnetization belongs to which entry?

ZnCo4



> Look up the Fermi-level density of states of the third one.

0.352 states/eV/atom